Arrangement P

DFT (GGA-PBE) results for crystalline CaSnF2 at its relaxed geometry.

Properties
Symmetry: No. 122
Crystal system: tetragonal
DOS(E_F), states/eV per atom: 0.23

Lattice parameters (Å, degrees): 6.1009 6.1009 6.7736 63.23 63.23 90.00
With the nearest neighbours (Å) after each atom.
Fractional coordinates of all 8 atoms:
1 Ca 0.5000 0.5000 0.0000  4 F 2.15
2 Ca 0.2500 0.7500 0.5000  4 F 2.15
3 Sn 0.0000 0.0000 0.0000  4 F 3.05
4 Sn 0.7500 0.2500 0.5000  4 F 3.05
5 F 0.4997 0.1250 0.2500  2 Ca 2.15
6 F 0.2503 0.6250 0.2500  2 Ca 2.15
7 F 0.3750 0.5003 0.7500  2 Ca 2.15
8 F 0.8750 0.7497 0.7500  2 Ca 2.15

Arrangement Q

DFT (GGA-PBE) results for crystalline CaSnF2 at its relaxed geometry.

Properties
Symmetry: No. 166
Crystal system: trigonal
DOS(E_F), states/eV per atom: 0.14

Lattice parameters (Å, degrees): 8.5762 8.5762 8.5762 23.88 23.88 23.88
With the nearest neighbours (Å) after each atom.
Fractional coordinates of all 4 atoms:
1 Ca 0.0000 0.0000 0.0000  2 F 2.12
2 Sn 0.5000 0.5000 0.5000  6 F 2.90
3 F 0.9152 0.9152 0.9152  1 Ca 2.12
4 F 0.0848 0.0848 0.0848  1 Ca 2.12

Stability check: which of them is least stable? arrangement Q.

Arrangement P

DFT (GGA-PBE) results for crystalline CaSnF2 at its relaxed geometry.

Properties
Symmetry: No. 225
Crystal system: cubic
DOS(E_F), states/eV per atom: 1.39

Lattice parameters (Å, degrees): 4.7141 4.7141 4.7141 60.00 60.00 60.00
With the nearest neighbours (Å) after each atom.
Fractional coordinates of all 4 atoms:
1 Ca 0.0000 0.0000 0.0000  8 F 2.89
2 Sn 0.5000 0.5000 0.5000  8 F 2.89
3 F 0.2500 0.2500 0.2500  4 Sn 2.89, 4 Ca 2.89
4 F 0.7500 0.7500 0.7500  4 Sn 2.89, 4 Ca 2.89

Arrangement Q

DFT (GGA-PBE) results for crystalline CaSnF2 at its relaxed geometry.

Properties
Symmetry: No. 166
Crystal system: trigonal
DOS(E_F), states/eV per atom: 0.22

Lattice parameters (Å, degrees): 9.3580 9.3580 9.3580 21.34 21.34 21.34
With the nearest neighbours (Å) after each atom.
Fractional coordinates of all 4 atoms:
1 Ca 0.5000 0.5000 0.5000  6 F 2.25
2 Sn 0.0000 0.0000 0.0000  6 Sn 3.46, 2 F 3.54
3 F 0.8710 0.8710 0.8710  3 Ca 2.25
4 F 0.1290 0.1290 0.1290  3 Ca 2.25

Stability check: which of them is least stable? arrangement P.

Arrangement P

DFT (GGA-PBE) results for crystalline Ca3SnF at its relaxed geometry.

Properties
Symmetry: No. 221
Crystal system: cubic
DOS(E_F), states/eV per atom: 1.02

Lattice parameters (Å, degrees): 4.9792 4.9792 4.9792 90.00 90.00 90.00
With the nearest neighbours (Å) after each atom.
Fractional coordinates of all 5 atoms:
1 Ca 0.0000 0.5000 0.0000  2 F 2.49
2 Ca 0.0000 0.0000 0.5000  2 F 2.49
3 Ca 0.5000 0.0000 0.0000  2 F 2.49
4 Sn 0.5000 0.5000 0.5000  12 Ca 3.52
5 F 0.0000 0.0000 0.0000  6 Ca 2.49

Arrangement Q

DFT (GGA-PBE) results for crystalline Ca3SnF at its relaxed geometry.

Properties
Symmetry: No. 12
Crystal system: monoclinic
DOS(E_F), states/eV per atom: 0.43

Lattice parameters (Å, degrees): 3.7685 8.4114 9.4229 88.54 90.00 102.94
With the nearest neighbours (Å) after each atom.
Fractional coordinates of all 10 atoms:
1 Ca 0.0373 0.0746 0.1907  2 F 2.35-2.36
2 Ca 0.9627 0.9254 0.8093  2 F 2.35-2.36
3 Ca 0.6640 0.3279 0.9019  2 F 2.38
4 Ca 0.3360 0.6721 0.0981  2 F 2.38
5 Ca 0.8559 0.7118 0.4706  3 Sn 3.30-3.33, 1 Ca 3.68
6 Ca 0.1441 0.2882 0.5294  3 Sn 3.30-3.33, 1 Ca 3.68
7 Sn 0.3015 0.6030 0.7451  8 Ca 3.26-3.39
8 Sn 0.6985 0.3970 0.2549  8 Ca 3.26-3.39
9 F 0.0790 0.1580 0.9507  4 Ca 2.35-2.38
10 F 0.9210 0.8420 0.0493  4 Ca 2.35-2.38

Stability check: which of them is least stable? arrangement P.